Record 1
Entry from Alexandria via LeMat-Bulk: a geometry-optimized Pm2PrTl3Se6 structure (PBE).

Geometry as extended XYZ:
```
12
Lattice="-0.180 5.447 5.118 1.570 -7.013 2.060 7.084 1.868 -3.560" Properties=species:S:1:pos:R:3 pbc="T T T"
Tl 4.821 -4.009 0.788
Se 2.119 -2.079 0.448
Se 6.944 -1.817 2.139
Tl 4.237 0.151 1.809
Se 5.968 1.058 -0.897
Pm 0.987 -2.860 3.079
Se 6.355 2.381 3.169
Tl 3.653 4.311 2.830
Se 1.530 2.119 1.479
Se 2.507 -0.756 4.515
Pm 0.404 1.294 4.099
Pr 0.000 0.000 0.000
```

Summary:
space-group type = C2/m, No. 12
size of the total moment = 0.00 Bohr magnetons per cell
E_form (uncorrected) = -31.85 kcal/mol of atoms



Record 2
Entry from Alexandria via LeMat-Bulk: a geometry-optimized PmPr2Tl3Se6 structure (PBE).

Geometry as extended XYZ:
```
12
Lattice="7.513 -0.001 0.001 -3.755 6.508 0.001 -1.253 -2.169 7.751" Properties=species:S:1:pos:R:3 pbc="T T T"
Pm 0.000 0.000 0.000
Se 3.743 2.192 6.115
Tl -2.497 4.335 3.876
Pr 3.757 2.169 0.001
Se 2.519 4.361 1.644
Tl 1.253 2.169 3.876
Tl 5.003 0.003 3.876
Se -1.238 2.146 1.637
Pr 0.001 4.338 0.001
Se 0.027 4.338 6.115
Se 2.478 0.000 1.637
Se -0.014 -0.024 6.108
```

Summary:
space-group type = C2/m, No. 12
size of the total moment = 0.00 Bohr magnetons per cell
E_form (uncorrected) = -31.78 kcal/mol of atoms



Record 3
Entry from Alexandria via LeMat-Bulk: a geometry-optimized PmPr3Tl4Se8 structure (PBE).

Geometry as extended XYZ:
```
16
Lattice="8.686 0.000 0.000 0.000 9.225 0.373 -4.343 -4.340 6.145" Properties=species:S:1:pos:R:3 pbc="T T T"
Tl 2.172 -2.170 3.072
Tl 0.000 0.000 0.000
Pr -2.172 2.443 3.259
Se -2.193 2.326 6.263
Pm 0.000 4.613 0.186
Se 0.000 4.517 3.161
Se 2.193 2.326 6.263
Se 6.536 2.559 0.255
Se 4.343 0.368 3.357
Tl 4.343 0.000 0.000
Se 2.151 2.559 0.255
Se 4.343 4.513 3.187
Pr 2.172 2.443 3.259
Tl -2.172 -2.170 3.072
Se 0.000 0.372 3.331
Pr 4.343 4.613 0.186
```

Summary:
space-group type = R-3m, No. 166
size of the total moment = 0.00 Bohr magnetons per cell
E_form (uncorrected) = -31.77 kcal/mol of atoms